[1]
A geometry-optimized Pm2DyCo structure, computed with GGA-PBE.

Summary:
Polymorph energy (0 for the lowest one), eV/atom: 0.000
Crystal system: orthorhombic

Lattice parameters (Å, degrees): 6.2592 7.0457 9.7995 90.00 90.00 90.00
Closest atoms and distances in Å follow each position.
Element x y z (fractional)
Pm1 0.3243 0.1752 0.4301  2 Co 2.82-2.86
Pm2 0.8243 0.3248 0.5699  2 Co 2.82-2.86
Pm3 0.8243 0.3248 0.9301  2 Co 2.82-2.86
Pm4 0.1757 0.6752 0.4301  2 Co 2.82-2.86
Pm5 0.6757 0.8248 0.5699  2 Co 2.82-2.86
Pm6 0.1757 0.6752 0.0699  2 Co 2.82-2.86
Pm7 0.3243 0.1752 0.0699  2 Co 2.82-2.86
Pm8 0.6757 0.8248 0.9301  2 Co 2.82-2.86
Co1 0.4496 0.8834 0.2500  2 Dy 2.71-2.73, 4 Pm 2.82-2.86
Co2 0.9496 0.6166 0.7500  2 Dy 2.71-2.73, 4 Pm 2.82-2.86
Co3 0.5504 0.1166 0.7500  2 Dy 2.71-2.73, 4 Pm 2.82-2.86
Co4 0.0504 0.3834 0.2500  2 Dy 2.71-2.73, 4 Pm 2.82-2.86
Dy1 0.6528 0.5434 0.2500  2 Co 2.71-2.73
Dy2 0.8472 0.0434 0.2500  2 Co 2.71-2.73
Dy3 0.3472 0.4566 0.7500  2 Co 2.71-2.73
Dy4 0.1528 0.9566 0.7500  2 Co 2.71-2.73

=====

[2]
A geometry-optimized PmDy2Co2 structure, computed with GGA-PBE.

Summary:
Polymorph energy (0 for the lowest one), eV/atom: 0.074
Crystal system: monoclinic

Lattice parameters (Å, degrees): 3.7578 5.5321 6.0119 103.38 108.21 90.00
Closest atoms and distances in Å follow each position.
Element x y z (fractional)
Pm1 0.0000 0.0000 0.0000  6 Co 3.08-3.38
Co1 0.2797 0.8956 0.5594  2 Co 2.39
Co2 0.7203 0.1044 0.4406  2 Co 2.39
Dy1 0.6494 0.5828 0.2987  4 Co 2.74-2.95
Dy2 0.3506 0.4172 0.7013  4 Co 2.74-2.95

=====

[3]
A geometry-optimized PmDyCo3 structure, computed with GGA-PBE.

Summary:
Crystal system: orthorhombic
Uncorrected energy, eV for the cell shown: -62.85

Lattice parameters (Å, degrees): 3.9094 4.1554 11.8290 100.12 90.00 90.00
Closest atoms and distances in Å follow each position.
Element x y z (fractional)
Co1 0.2500 0.4758 0.9516  3 Co 2.26-2.28
Co2 0.7500 0.5242 0.0484  3 Co 2.26-2.28
Co3 0.7500 0.6221 0.2441  3 Co 2.24-2.28
Co4 0.2500 0.6691 0.3383  2 Co 2.24
Co5 0.2500 0.3779 0.7559  3 Co 2.24-2.28
Co6 0.7500 0.3309 0.6617  2 Co 2.24
Pm1 0.2500 0.0711 0.1422  12 Co 3.04-3.09
Pm2 0.7500 0.9289 0.8578  12 Co 3.04-3.09
Dy1 0.7500 0.2054 0.4109  7 Co 2.84-2.98
Dy2 0.2500 0.7946 0.5891  7 Co 2.84-2.98